Record 1
Density functional theory data (PBE) for a relaxed ReSbPb2 crystal.

Unit cell a=3.335 b=4.679 c=13.290 alpha=90.00 beta=90.00 gamma=90.00
Space group Imm2 (No. 44)
Unique sites:
Re: 0.000 0.000 0.000 x2
Sb: 0.000 0.500 0.339 x2
Pb: 0.000 0.000 0.520 x2
Pb: 0.000 0.500 0.701 x2

Computed properties:
V, Å³/cell: 207.4
Raw formation energy, eV per atom: 0.5784

=====

Record 2
Density functional theory data (PBE) for a relaxed ReSbPb2 crystal.

Unit cell a=4.560 b=4.188 c=10.697 alpha=90.00 beta=90.00 gamma=90.00
Space group Amm2 (No. 38)
Unique sites:
Re: 0.000 0.000 0.000 x2
Sb: 0.500 0.000 0.132 x2
Pb: 0.000 0.000 0.714 x2
Pb: 0.500 0.000 0.414 x2

Computed properties:
V, Å³/cell: 204.3
Raw formation energy, eV per atom: 0.7014

=====

Record 3
Density functional theory data (PBE) for a relaxed ReSbPb2 crystal.

Unit cell a=3.396 b=3.396 c=8.474 alpha=90.00 beta=90.00 gamma=90.00
Space group P4mm (No. 99)
Unique sites:
Re: 0.000 0.000 0.000 x1
Sb: 0.500 0.500 0.159 x1
Pb: 0.000 0.000 0.443 x1
Pb: 0.500 0.500 0.769 x1

Computed properties:
V, Å³/cell: 97.7
Raw formation energy, eV per atom: 0.4248

=====

Record 4
Density functional theory data (PBE) for a relaxed ReSb4Pb crystal.

Unit cell a=8.740 b=8.740 c=8.740 alpha=90.00 beta=90.00 gamma=90.00
Space group F-43m (No. 216)
Unique sites:
Re: 0.000 0.000 0.000 x4
Sb: 0.126 0.126 0.626 x16
Pb: 0.250 0.250 0.250 x4

Computed properties:
V, Å³/cell: 667.6
Raw formation energy, eV per atom: 1.0674

=====

Record 5
Density functional theory data (PBE) for a relaxed ReSbPb2 crystal.

Unit cell a=3.3160 b=3.3160 c=30.7487 alpha=90.00 beta=90.00 gamma=120.00
Space group R-3m (No. 166, hexagonal axes)
Unique sites:
Re: 0.0000 0.0000 0.0000 x3
Sb: 0.0000 0.0000 0.5000 x3
Pb: 0.0000 0.0000 0.2622 x6

Computed properties:
V, Å³/cell: 292.8
Raw formation energy, eV per atom: 0.7272

=====

Record 6
Density functional theory data (PBE) for a relaxed Re4SbPb crystal.

Unit cell a=7.622 b=7.622 c=7.622 alpha=90.00 beta=90.00 gamma=90.00
Space group F-43m (No. 216)
Unique sites:
Re: 0.125 0.125 0.125 x16
Sb: 0.250 0.250 0.750 x4
Pb: 0.000 0.000 0.500 x4

Computed properties:
V, Å³/cell: 442.8
Raw formation energy, eV per atom: 0.8451

=====

Record 7
Density functional theory data (PBE) for a relaxed ReSbPb2 crystal.

Unit cell a=4.335 b=4.335 c=5.310 alpha=90.00 beta=90.00 gamma=90.00
Space group P4/mmm (No. 123)
Unique sites:
Re: 0.000 0.000 0.000 x1
Sb: 0.500 0.500 0.000 x1
Pb: 0.000 0.500 0.500 x2

Computed properties:
V, Å³/cell: 99.8
Raw formation energy, eV per atom: 1.0175

=====

Record 8
Density functional theory data (PBE) for a relaxed ReSbPb2 crystal.

Unit cell a=4.464 b=4.464 c=9.965 alpha=90.00 beta=90.00 gamma=90.00
Space group I4/mmm (No. 139)
Unique sites:
Re: 0.000 0.000 0.000 x2
Sb: 0.000 0.000 0.500 x2
Pb: 0.000 0.500 0.250 x4

Computed properties:
V, Å³/cell: 198.6
Raw formation energy, eV per atom: 0.9812

=====

Record 9
Density functional theory data (PBE) for a relaxed ReSbPb2 crystal.

Unit cell a=6.063 b=10.967 c=3.445 alpha=90.00 beta=120.88 gamma=90.00
Space group C2/m (No. 12)
Unique sites:
Re: 0.000 0.000 0.000 x2
Sb: 0.000 0.500 0.000 x2
Pb: 0.250 0.250 0.500 x4

Computed properties:
V, Å³/cell: 196.6
Raw formation energy, eV per atom: 1.0096

=====

Record 10
Density functional theory data (PBE) for a relaxed ReSbPb2 crystal.

Unit cell a=9.391 b=3.417 c=7.203 alpha=90.00 beta=108.91 gamma=90.00
Space group Cm (No. 8)
Unique sites:
Re: 0.000 0.000 0.000 x2
Sb: 0.287 0.000 0.006 x2
Pb: 0.138 0.500 0.341 x2
Pb: 0.463 0.000 0.665 x2

Computed properties:
V, Å³/cell: 218.7
Raw formation energy, eV per atom: 0.3825

=====

Record 11
Density functional theory data (PBE) for a relaxed ReSbPb2 crystal.

Unit cell a=3.341 b=4.387 c=14.302 alpha=90.00 beta=90.00 gamma=90.00
Space group Immm (No. 71)
Unique sites:
Re: 0.000 0.000 0.000 x2
Sb: 0.000 0.000 0.500 x2
Pb: 0.000 0.500 0.325 x4

Computed properties:
V, Å³/cell: 209.7
Raw formation energy, eV per atom: 0.5446

=====

Record 12
Density functional theory data (PBE) for a relaxed ReSbPb2 crystal.

Unit cell a=6.290 b=6.290 c=14.436 alpha=90.00 beta=90.00 gamma=90.00
Space group I-42d (No. 122)
Unique sites:
Re: 0.000 0.000 0.000 x4
Sb: 0.000 0.000 0.500 x4
Pb: 0.201 0.250 0.125 x8

Computed properties:
V, Å³/cell: 571.1
Raw formation energy, eV per atom: 1.1982

=====

Record 13
Density functional theory data (PBE) for a relaxed ReSbPb2 crystal.

Unit cell a=3.392 b=3.392 c=8.392 alpha=90.00 beta=90.00 gamma=90.00
Space group P4/mmm (No. 123)
Unique sites:
Re: 0.000 0.000 0.000 x1
Sb: 0.000 0.000 0.500 x1
Pb: 0.500 0.500 0.203 x2

Computed properties:
V, Å³/cell: 96.6
Raw formation energy, eV per atom: 0.7634

=====

Record 14
Density functional theory data (PBE) for a relaxed ReSbPb3 crystal.

Unit cell a=5.376 b=5.376 c=5.376 alpha=90.00 beta=90.00 gamma=90.00
Space group Pm-3m (No. 221)
Unique sites:
Re: 0.000 0.000 0.000 x1
Sb: 0.500 0.500 0.500 x1
Pb: 0.000 0.000 0.500 x3

Computed properties:
V, Å³/cell: 155.3
Raw formation energy, eV per atom: 0.6416